The following is a DFT calculation (GGA-PBE) of crystalline CsSbBr2 at its relaxed geometry.

a b c (Å): 8.378 8.378 8.378
angles (deg): 90.00 90.00 90.00
Sites, in units of the cell vectors:
Cs1 0.000 0.000 0.000
Cs2 0.000 0.500 0.500
Cs3 0.500 0.000 0.500
Cs4 0.500 0.500 0.000
Sb1 0.000 0.000 0.500
Sb2 0.000 0.500 0.000
Sb3 0.500 0.000 0.000
Sb4 0.500 0.500 0.500
Br1 0.250 0.250 0.250
Br2 0.250 0.250 0.750
Br3 0.250 0.750 0.250
Br4 0.250 0.750 0.750
Br5 0.750 0.250 0.250
Br6 0.750 0.250 0.750
Br7 0.750 0.750 0.250
Br8 0.750 0.750 0.750

The calculation puts the total magnetic moment at 2.000 μB per formula unit. The density of states at the Fermi level comes out at 25.15 states/eV per cell. The space group is Fm-3m, No. 225. The calculation puts the raw total energy at -2.528 eV/atom. The value obtained for the uncorrected formation energy is -448 meV/atom.